AcTbGeRh | Alexandria via LeMat-Bulk | PBE | optimized geometry; energy of formation = -0.59 eV per atom; space-group type = P4/nmm; raw total energy = -0.4238 Ry per atom
1.0
4.7275 0.0000 0.0000
0.0000 4.7275 0.0000
0.0000 0.0000 10.2545
Rh Ge Ac Tb
2 2 2 2
Cartesian
0.0000 2.3638 3.6346
2.3638 0.0000 6.6199
2.3638 0.0000 8.9928
0.0000 2.3638 1.2618
2.3638 0.0000 1.8097
0.0000 2.3638 8.4448
0.0000 0.0000 5.1273
2.3638 2.3638 5.1273